# ErWIO4 PBE with a Hubbard U optimized geometry
# * E_tot: -6.98 eV per atom
# * volume: 19.1 A^3/atom
data_ErWIO4
_space_group_name_H-M_alt 'C 1 2/m 1'
_space_group_IT_number 12
_space_group_name_Hall '-C 2y'
_cell_length_a 10.906
_cell_length_b 7.205
_cell_length_c 7.143
_cell_angle_alpha 90.00
_cell_angle_beta 107.28
_cell_angle_gamma 90.00
loop_
_atom_site_label
_atom_site_fract_x
_atom_site_fract_y
_atom_site_fract_z
Er1 0.244 0.000 0.138
W1 0.133 0.500 0.262
I1 0.017 0.000 0.753
O1 0.042 0.500 0.812
O2 0.192 0.500 0.526
O3 0.197 0.305 0.155